No. 1
A plane-wave DFT calculation with PBE-GGA was carried out for a geometry-optimized MnMoPCl2 structure.

Results
* total magnetization: 7.02 μB per formula unit
* symmetry: P4/mmm
* formation energy from raw total energies: 0.329 eV per atom
* energy above the lowest structure with this stoichiometry: 0.00 eV per formula unit

Cell: 4.8666 4.8666 4.8118 Å, 90.00 90.00 90.00°
Last column: nearest neighbours and their distance in Å.
Atoms (fractional coordinates):
Mn 0.0000 0.0000 0.0000  8 Cl 3.42, 4 P 3.44
Mo 0.5000 0.5000 0.5000  2 P 2.41, 4 Cl 2.43
P 0.5000 0.5000 0.0000  2 Mo 2.41
Cl 0.0000 0.5000 0.5000  2 Mo 2.43
Cl 0.5000 0.0000 0.5000  2 Mo 2.43

No. 2
A plane-wave DFT calculation with PBE-GGA was carried out for a geometry-optimized MnV4W3 structure.

Results
* total magnetization: 0.00 μB per formula unit
* symmetry: P4/mmm
* calculated formation energy: -0.79 eV per formula unit

Cell: 3.0366 3.0366 12.1771 Å, 90.00 90.00 90.00°
Last column: nearest neighbours and their distance in Å.
Atoms (fractional coordinates):
Mn 0.0000 0.0000 0.0000  8 V 2.57
V 0.5000 0.5000 0.1154  4 Mn 2.57, 4 W 2.66, 1 V 2.81
V 0.5000 0.5000 0.3712  8 W 2.65-2.66
V 0.5000 0.5000 0.6288  8 W 2.65-2.66
V 0.5000 0.5000 0.8846  4 Mn 2.57, 4 W 2.66, 1 V 2.81
W 0.0000 0.0000 0.2439  8 V 2.65-2.66
W 0.0000 0.0000 0.5000  8 V 2.66
W 0.0000 0.0000 0.7561  8 V 2.65-2.66

No. 3
A plane-wave DFT calculation with PBE-GGA was carried out for a geometry-optimized AcIN structure.

Results
* total magnetization: 1.00 μB per formula unit
* symmetry: I4mm
* formation energy from raw total energies: -0.603 eV per atom
* energy above the lowest structure with this stoichiometry: 1.94 eV per formula unit

Cell: 6.5428 6.5428 6.5428 Å, 146.19 146.19 48.57°
Last column: nearest neighbours and their distance in Å.
Atoms (fractional coordinates):
Ac 0.0000 0.0000 0.0000  4 N 2.73
I 0.2927 0.2927 0.0000  1 N 2.91
N 0.5364 0.5364 0.0000  4 Ac 2.73, 1 I 2.91

No. 4
A plane-wave DFT calculation with PBE-GGA was carried out for a geometry-optimized Tb5Ag2Pd12 structure.

Results
* total magnetization: 0.00 μB per formula unit
* symmetry: C2/m
* calculated formation energy: -8.83 eV per formula unit

Cell: 8.8981 8.8981 9.5812 Å, 115.22 115.22 36.43°
Last column: nearest neighbours and their distance in Å.
Atoms (fractional coordinates):
Tb 0.0000 0.0000 0.0000  10 Pd 2.77-3.10
Tb 0.3184 0.3184 0.1280  9 Pd 2.78-3.01
Tb 0.3451 0.3451 0.6277  7 Pd 2.71-3.01
Tb 0.6549 0.6549 0.3723  7 Pd 2.71-3.01
Tb 0.6816 0.6816 0.8720  9 Pd 2.78-3.01
Ag 0.2505 0.7495 0.5000  2 Ag 2.78-2.79, 4 Pd 2.81-3.03
Ag 0.7495 0.2505 0.5000  2 Ag 2.78-2.79, 4 Pd 2.81-3.03
Pd 0.0512 0.5779 0.3710  4 Pd 2.63-2.93, 2 Tb 2.71-2.78, 1 Ag 2.81
Pd 0.0903 0.5926 0.8919  5 Pd 2.71-2.94, 4 Tb 2.77-2.97
Pd 0.1062 0.1062 0.8092  4 Pd 2.93-2.94, 3 Tb 3.01-3.08, 2 Ag 3.03
Pd 0.4074 0.9097 0.1081  5 Pd 2.71-2.94, 4 Tb 2.77-2.97
Pd 0.4221 0.9488 0.6290  4 Pd 2.63-2.93, 2 Tb 2.71-2.78, 1 Ag 2.81
Pd 0.4882 0.4882 0.1321  2 Tb 2.72-2.85, 3 Pd 2.73-2.88
Pd 0.5118 0.5118 0.8679  2 Tb 2.72-2.85, 3 Pd 2.73-2.88
Pd 0.5779 0.0512 0.3710  4 Pd 2.63-2.93, 2 Tb 2.71-2.78, 1 Ag 2.81
Pd 0.5926 0.0903 0.8919  5 Pd 2.71-2.94, 4 Tb 2.77-2.97
Pd 0.8938 0.8938 0.1908  4 Pd 2.93-2.94, 3 Tb 3.01-3.08, 2 Ag 3.03
Pd 0.9097 0.4074 0.1081  5 Pd 2.71-2.94, 4 Tb 2.77-2.97
Pd 0.9488 0.4221 0.6290  4 Pd 2.63-2.93, 2 Tb 2.71-2.78, 1 Ag 2.81

No. 5
A plane-wave DFT calculation with PBE-GGA was carried out for a geometry-optimized FeRe2Ir structure.

Results
* total magnetization: 0.42 μB per formula unit
* symmetry: I4/mmm
* calculated formation energy: -0.13 eV per formula unit
* energy above the lowest structure with this stoichiometry: 0.08 eV per formula unit

Cell: 4.6871 4.6871 4.6871 Å, 132.33 132.33 69.71°
Last column: nearest neighbours and their distance in Å.
Atoms (fractional coordinates):
Fe 0.0000 0.0000 0.0000  4 Ir 2.68, 8 Re 2.70
Re 0.2500 0.7500 0.5000  4 Re 2.68, 4 Fe 2.70, 4 Ir 2.70
Re 0.7500 0.2500 0.5000  4 Re 2.68, 4 Fe 2.70, 4 Ir 2.70
Ir 0.5000 0.5000 0.0000  4 Fe 2.68, 8 Re 2.70

No. 6
A plane-wave DFT calculation with PBE-GGA was carried out for a geometry-optimized EuPaSnBi structure.

Results
* total magnetization: 8.03 μB per formula unit
* symmetry: F-43m
* calculated formation energy: -1.01 eV per formula unit

Cell: 5.4729 5.4729 5.4729 Å, 60.00 60.00 60.00°
Last column: nearest neighbours and their distance in Å.
Atoms (fractional coordinates):
Eu 0.0000 0.0000 0.0000  4 Sn 3.35, 4 Bi 3.35
Pa 0.5000 0.5000 0.5000  4 Sn 3.35, 4 Bi 3.35
Sn 0.2500 0.2500 0.2500  4 Pa 3.35, 4 Eu 3.35
Bi 0.7500 0.7500 0.7500  4 Pa 3.35, 4 Eu 3.35

Calculated total energy list, top to bottom, in eV per atom: -5.491 -10.662 -5.265 -5.263 -10.587 -7.167